DFT (PBE-GGA) results for an optimized crystal structure of Rb2Sn2Se3.

Output
Formation energy from raw total energies, eV per atom: -0.7558
Electronic total energy, eV per atom: -3.669
Energy above the lowest structure with this stoichiometry, meV/atom: 11.3
V, Å³ per cell: 270.0

a b c (Å): 6.007 6.963 7.593
angles (deg): 111.21 112.31 90.45
Positions (direct):
Rb (0.100, 0.282, 0.206)
Rb (0.900, 0.718, 0.794)
Sn (0.358, 0.158, 0.701)
Sn (0.642, 0.842, 0.299)
Se (0.175, 0.815, 0.345)
Se (0.500, 0.000, 0.000)
Se (0.825, 0.185, 0.655)

DFT (PBE-GGA) results for an optimized crystal structure of Rb4SnSe5.

Output
Formation energy from raw total energies, eV per atom: -0.7198
Electronic total energy, eV per atom: -3.249
V, Å³ per cell: 404.5

a b c (Å): 8.332 8.332 8.332
angles (deg): 100.56 100.56 129.31
Positions (direct):
Rb (0.085, 0.705, 0.790)
Rb (0.295, 0.085, 0.380)
Rb (0.705, 0.915, 0.620)
Rb (0.915, 0.295, 0.210)
Sn (0.406, 0.406, 0.000)
Se (0.050, 0.050, 0.000)
Se (0.279, 0.438, 0.701)
Se (0.438, 0.738, 0.160)
Se (0.578, 0.279, 0.840)
Se (0.738, 0.578, 0.299)

DFT (PBE-GGA) results for an optimized crystal structure of Rb3Sn2Se4.

Output
Formation energy from raw total energies, eV per atom: -0.8219
Electronic total energy, eV per atom: -3.583
Energy above the lowest structure with this stoichiometry, meV/atom: 2.5
V, Å³ per cell: 713.7

a b c (Å): 9.044 9.044 8.909
angles (deg): 96.72 96.72 82.53
Positions (direct):
Rb (0.125, 0.875, 0.750)
Rb (0.238, 0.485, 0.373)
Rb (0.485, 0.238, 0.873)
Rb (0.515, 0.762, 0.127)
Rb (0.762, 0.515, 0.627)
Rb (0.875, 0.125, 0.250)
Sn (0.066, 0.312, 0.907)
Sn (0.312, 0.066, 0.407)
Sn (0.688, 0.934, 0.593)
Sn (0.934, 0.688, 0.093)
Se (0.122, 0.221, 0.598)
Se (0.208, 0.562, 0.978)
Se (0.221, 0.122, 0.098)
Se (0.438, 0.792, 0.522)
Se (0.562, 0.208, 0.478)
Se (0.779, 0.878, 0.902)
Se (0.792, 0.438, 0.022)
Se (0.878, 0.779, 0.402)

DFT (PBE-GGA) results for an optimized crystal structure of RbSn2Se4.

Output
Formation energy from raw total energies, eV per atom: -0.5677
Electronic total energy, eV per atom: -3.841
Energy above the lowest structure with this stoichiometry, meV/atom: 47.3
V, Å³ per cell: 1047.1

a b c (Å): 17.169 9.105 6.699
angles (deg): 90.00 90.00 90.00
Positions (direct):
Rb (0.240, 0.250, 0.003)
Rb (0.260, 0.750, 0.503)
Rb (0.740, 0.250, 0.497)
Rb (0.760, 0.750, 0.997)
Sn (0.000, 0.000, 0.500)
Sn (0.000, 0.500, 0.500)
Sn (0.066, 0.750, 0.903)
Sn (0.434, 0.250, 0.403)
Sn (0.500, 0.000, 0.000)
Sn (0.500, 0.500, 0.000)
Sn (0.566, 0.750, 0.597)
Sn (0.934, 0.250, 0.097)
Se (0.067, 0.250, 0.292)
Se (0.070, 0.750, 0.285)
Se (0.129, 0.518, 0.765)
Se (0.129, 0.982, 0.765)
Se (0.371, 0.018, 0.265)
Se (0.371, 0.482, 0.265)
Se (0.430, 0.250, 0.785)
Se (0.433, 0.750, 0.792)
Se (0.567, 0.250, 0.208)
Se (0.570, 0.750, 0.215)
Se (0.629, 0.518, 0.735)
Se (0.629, 0.982, 0.735)
Se (0.871, 0.018, 0.235)
Se (0.871, 0.482, 0.235)
Se (0.930, 0.250, 0.715)
Se (0.933, 0.750, 0.708)

DFT (PBE-GGA) results for an optimized crystal structure of RbSnSe.

Output
Formation energy from raw total energies, eV per atom: -0.4140
Electronic total energy, eV per atom: -3.232
Energy above the lowest structure with this stoichiometry, meV/atom: 250.6
V, Å³ per cell: 236.0

a b c (Å): 4.885 4.885 11.723
angles (deg): 100.09 100.09 59.47
Positions (direct):
Rb (0.000, 0.000, 0.000)
Rb (0.158, 0.158, 0.402)
Sn (0.262, 0.262, 0.754)
Sn (0.573, 0.573, 0.675)
Se (0.361, 0.361, 0.180)
Se (0.798, 0.798, 0.224)

DFT (PBE-GGA) results for an optimized crystal structure of RbSr2SnSe.

Output
Formation energy from raw total energies, eV per atom: -0.2603
Electronic total energy, eV per atom: -2.624
V, Å³ per cell: 249.2

a b c (Å): 6.302 6.302 6.275
angles (deg): 90.00 90.00 90.00
Positions (direct):
Rb (0.000, 0.000, 0.000)
Sr (0.000, 0.500, 0.500)
Sr (0.500, 0.000, 0.500)
Sn (0.000, 0.000, 0.500)
Se (0.500, 0.500, 0.000)

DFT (PBE-GGA) results for an optimized crystal structure of RbSr2SnSe4.

Output
Formation energy from raw total energies, eV per atom: -1.2448
Electronic total energy, eV per atom: -4.029
V, Å³ per cell: 505.8

a b c (Å): 8.927 8.927 8.927
angles (deg): 120.15 119.10 90.66
Positions (direct):
Rb (0.500, 0.000, 0.000)
Rb (0.500, 0.500, 0.500)
Sr (0.000, 0.000, 0.000)
Sr (0.000, 0.000, 0.500)
Sr (0.000, 0.500, 0.000)
Sr (0.500, 0.000, 0.500)
Sn (0.000, 0.500, 0.500)
Sn (0.500, 0.500, 0.000)
Se (0.213, 0.731, 0.482)
Se (0.242, 0.249, 0.507)
Se (0.242, 0.735, 0.993)
Se (0.250, 0.269, 0.982)
Se (0.750, 0.731, 0.018)
Se (0.758, 0.265, 0.007)
Se (0.758, 0.751, 0.493)
Se (0.787, 0.269, 0.518)

DFT (PBE-GGA) results for an optimized crystal structure of Rb3Tb3SnSe8.

Output
Formation energy from raw total energies, eV per atom: -1.4460
Electronic total energy, eV per atom: -4.691
V, Å³ per cell: 495.4

a b c (Å): 9.508 9.508 9.508
angles (deg): 52.13 52.13 52.13
Positions (direct):
Rb (0.000, 0.500, 0.500)
Rb (0.500, 0.000, 0.500)
Rb (0.500, 0.500, 0.000)
Tb (0.000, 0.000, 0.500)
Tb (0.000, 0.500, 0.000)
Tb (0.500, 0.000, 0.000)
Sn (0.500, 0.500, 0.500)
Se (0.231, 0.231, 0.231)
Se (0.243, 0.724, 0.724)
Se (0.276, 0.276, 0.757)
Se (0.276, 0.757, 0.276)
Se (0.724, 0.243, 0.724)
Se (0.724, 0.724, 0.243)
Se (0.757, 0.276, 0.276)
Se (0.769, 0.769, 0.769)

DFT (PBE-GGA) results for an optimized crystal structure of Rb2TbSnSe5.

Output
Formation energy from raw total energies, eV per atom: -1.0078
Electronic total energy, eV per atom: -4.118
V, Å³ per cell: 642.6

a b c (Å): 10.528 10.528 15.059
angles (deg): 90.00 90.00 157.36
Positions (direct):
Rb (0.129, 0.871, 0.500)
Rb (0.138, 0.862, 0.135)
Rb (0.862, 0.138, 0.635)
Rb (0.871, 0.129, 0.000)
Tb (0.202, 0.798, 0.839)
Tb (0.798, 0.202, 0.339)
Sn (0.440, 0.560, 0.231)
Sn (0.560, 0.440, 0.731)
Se (0.048, 0.952, 0.841)
Se (0.305, 0.695, 0.464)
Se (0.318, 0.682, 0.197)
Se (0.335, 0.665, 0.821)
Se (0.498, 0.502, 0.590)
Se (0.502, 0.498, 0.090)
Se (0.665, 0.335, 0.321)
Se (0.682, 0.318, 0.697)
Se (0.695, 0.305, 0.964)
Se (0.952, 0.048, 0.341)

DFT (PBE-GGA) results for an optimized crystal structure of Rb4Tb3SnSe8.

Output
Formation energy from raw total energies, eV per atom: -1.4794
Electronic total energy, eV per atom: -4.582
V, Å³ per cell: 504.1

a b c (Å): 9.389 9.389 9.389
angles (deg): 54.06 54.06 54.06
Positions (direct):
Rb (0.000, 0.000, 0.000)
Rb (0.000, 0.500, 0.500)
Rb (0.500, 0.000, 0.500)
Rb (0.500, 0.500, 0.000)
Tb (0.000, 0.000, 0.500)
Tb (0.000, 0.500, 0.000)
Tb (0.500, 0.000, 0.000)
Sn (0.500, 0.500, 0.500)
Se (0.231, 0.732, 0.732)
Se (0.232, 0.232, 0.232)
Se (0.268, 0.268, 0.769)
Se (0.268, 0.769, 0.268)
Se (0.732, 0.231, 0.732)
Se (0.732, 0.732, 0.231)
Se (0.768, 0.768, 0.768)
Se (0.769, 0.268, 0.268)

DFT (PBE-GGA) results for an optimized crystal structure of Rb2SnTeSe.

Output
Formation energy from raw total energies, eV per atom: -0.8037
Electronic total energy, eV per atom: -3.317
V, Å³ per cell: 447.1

a b c (Å): 7.979 4.610 12.652
angles (deg): 90.00 106.10 90.00
Positions (direct):
Rb (0.171, 0.250, 0.381)
Rb (0.225, 0.750, 0.007)
Rb (0.775, 0.250, 0.993)
Rb (0.829, 0.750, 0.619)
Sn (0.330, 0.250, 0.782)
Sn (0.670, 0.750, 0.218)
Te (0.319, 0.750, 0.631)
Te (0.681, 0.250, 0.369)
Se (0.020, 0.250, 0.816)
Se (0.980, 0.750, 0.184)

DFT (PBE-GGA) results for an optimized crystal structure of RbSnTe2Se6.

Output
Formation energy from raw total energies, eV per atom: -0.2056
Electronic total energy, eV per atom: -3.422
V, Å³ per cell: 788.4

a b c (Å): 10.883 10.883 8.216
angles (deg): 106.31 106.31 111.07
Positions (direct):
Rb (0.106, 0.894, 0.750)
Rb (0.894, 0.106, 0.250)
Sn (0.191, 0.809, 0.250)
Sn (0.809, 0.191, 0.750)
Te (0.282, 0.475, 0.851)
Te (0.475, 0.282, 0.351)
Te (0.525, 0.718, 0.649)
Te (0.718, 0.525, 0.149)
Se (0.057, 0.212, 0.741)
Se (0.138, 0.634, 0.925)
Se (0.212, 0.057, 0.241)
Se (0.262, 0.430, 0.527)
Se (0.366, 0.862, 0.575)
Se (0.430, 0.262, 0.027)
Se (0.570, 0.738, 0.973)
Se (0.634, 0.138, 0.425)
Se (0.738, 0.570, 0.473)
Se (0.788, 0.943, 0.759)
Se (0.862, 0.366, 0.075)
Se (0.943, 0.788, 0.259)